Material: NaLuZrPt
Method: DFT, PBE
State: relaxed

Unit cell a=6.892 b=6.892 c=6.892 alpha=90.00 beta=90.00 gamma=90.00
Space group F-43m (No. 216)
Symmetry-distinct sites (fractional):
Na 0.000 0.000 0.000 x4
Lu 0.250 0.250 0.750 x4
Zr 0.000 0.000 0.500 x4
Pt 0.250 0.250 0.250 x4

Computed properties:
Energy above the lowest structure with this stoichiometry in eV per atom: 0.231
Total magnetic moment in μB per cell: 0.00